The following is a GGA-PBE calculation of a relaxed structure of NdY4N4, from Alexandria.

Output
Electronic total energy: -8.54 eV per atom
Formation energy (no corrections): -1436 meV/atom

Cell: 7.942 7.942 4.925 Å, 90.00 90.00 90.00°
Space group I4/m (No. 87)
Symmetry-distinct sites (fractional):
1 Nd 0.000 0.000 0.000 (multiplicity 2)
2 Y 0.110 0.315 0.500 (multiplicity 8)
3 N 0.101 0.305 0.000 (multiplicity 8)

The following is a GGA-PBE calculation of a relaxed structure of Zn3FeRu, from Alexandria.

Output
Electronic total energy: -3.33 eV per atom
Relative energy among the computed polymorphs: 0.000 eV per atom
DFT formation energy: 980 meV/atom

Cell: 4.701 4.701 4.701 Å, 90.00 90.00 90.00°
Space group Pm-3m (No. 221)
Symmetry-distinct sites (fractional):
1 Zn 0.000 0.000 0.500 (multiplicity 3)
2 Fe 0.500 0.500 0.500 (multiplicity 1)
3 Ru 0.000 0.000 0.000 (multiplicity 1)

The following is a GGA-PBE calculation of a relaxed structure of BeCu2GeI, from Alexandria.

Output
Electronic total energy: -2.14 eV per atom
Formation energy (no corrections): 1475 meV/atom

Cell: 4.838 4.838 5.764 Å, 90.00 90.00 90.00°
Space group P4/mmm (No. 123)
Symmetry-distinct sites (fractional):
1 Be 0.000 0.000 0.000 (multiplicity 1)
2 Cu 0.000 0.500 0.500 (multiplicity 2)
3 Ge 0.500 0.500 0.000 (multiplicity 1)
4 I 0.500 0.500 0.500 (multiplicity 1)

The following is a GGA-PBE calculation of a relaxed structure of ZrP2Se, from Alexandria.

Output
Electronic total energy: -6.12 eV per atom
Formation energy (no corrections): -405 meV/atom

Cell: 3.521 3.521 5.943 Å, 90.00 90.00 90.00°
Space group P4/mmm (No. 123)
Symmetry-distinct sites (fractional):
1 Zr 0.000 0.000 0.000 (multiplicity 1)
2 P 0.500 0.500 0.195 (multiplicity 2)
3 Se 0.000 0.000 0.500 (multiplicity 1)